Here is crystalline AcTl2Cd2Te4 at its relaxed geometry from the Alexandria database. Energies are from PBE. Values from VASP.

The structure in Quantum ESPRESSO input format:
```
&SYSTEM
  ibrav = 0, nat = 9, ntyp = 4
/
ATOMIC_SPECIES
Ac 227.00 Ac.upf
Tl 204.38 Tl.upf
Cd 112.41 Cd.upf
Te 127.60 Te.upf
CELL_PARAMETERS angstrom
8.432 -2.332 0.000
8.432 2.332 0.000
-2.644 0.000 8.215
ATOMIC_POSITIONS crystal
Ac 0.000 0.000 0.000
Tl 0.126 0.126 0.548
Tl 0.874 0.874 0.452
Cd 0.331 0.331 0.014
Cd 0.669 0.669 0.986
Te 0.211 0.211 0.204
Te 0.490 0.490 0.269
Te 0.510 0.510 0.731
Te 0.789 0.789 0.796
```

* formation energy (no corrections): -0.61 eV per atom
* raw total energy: -3.191 eV/atom
* magnetic moment: 0.0 μB per formula unit